Record 1
2
Lattice="3.109 0.000 0.000 -1.554 2.692 0.000 0.000 0.000 4.473" Properties=species:S:1:pos:R:3 comment="ZrCr PBE optimized geometry" crystal_system=hexagonal dos_at_fermi_per_ev_cell=2.7 energy_ev_per_atom=-8.573 spacegroup="No. 187" m_tot_mub_per_fu=2.33 pbc="T T T"
Zr 0.000 0.000 0.000
Cr 1.554 0.897 2.236

=====

Record 2
4
Lattice="2.109 1.218 8.186 -2.109 1.218 8.186 0.000 -2.435 8.186" Properties=species:S:1:pos:R:3 comment="LaPuPtI PBE optimized geometry" crystal_system=trigonal dos_at_fermi_per_ev_cell=13.5 energy_ev_per_atom=-7.672 spacegroup="No. 160" formation_energy_uncorrected_ev_per_fu=-3.8 m_tot_mub_per_fu=5.94 pbc="T T T"
La 0.000 0.000 0.000
Pu 0.000 0.000 5.047
Pt 0.000 0.000 14.754
I 0.000 0.000 18.939

=====

Record 3
4
Lattice="1.594 0.920 8.216 -1.594 0.920 8.216 0.000 -1.841 8.216" Properties=species:S:1:pos:R:3 comment="MgZn2Au PBE optimized geometry" crystal_system=trigonal dos_at_fermi_per_ev_cell=1.2 energy_ev_per_atom=-1.948 spacegroup="No. 160" m_tot_mub_per_fu=0.00 pbc="T T T"
Mg 0.000 0.000 0.000
Zn 0.000 0.000 6.028
Zn 0.000 0.000 12.361
Au 0.000 0.000 18.551

=====

Record 4
4
Lattice="3.224 0.000 0.000 0.000 3.224 0.000 0.000 0.000 6.175" Properties=species:S:1:pos:R:3 comment="MgScNi2 PBE optimized geometry" crystal_system=tetragonal dos_at_fermi_per_ev_cell=3.2 energy_ev_per_atom=-5.019 spacegroup="No. 99" m_tot_mub_per_fu=0.00 pbc="T T T"
Mg 0.000 0.000 0.000
Sc 1.612 1.612 3.891
Ni 0.000 0.000 2.631
Ni 1.612 1.612 1.323

=====

Record 5
3
Lattice="-1.954 1.954 5.322 1.954 -1.954 5.322 1.954 1.954 -5.322" Properties=species:S:1:pos:R:3 comment="HoLuSb PBE optimized geometry" crystal_system=tetragonal dos_at_fermi_per_ev_cell=1.7 energy_ev_per_atom=-4.993 spacegroup="No. 107" formation_energy_uncorrected_ev_per_fu=-1.8 m_tot_mub_per_fu=1.02 pbc="T T T"
Ho 0.000 0.000 0.000
Lu 0.000 0.000 3.292
Sb 0.000 0.000 7.011

=====

Record 6
4
Lattice="-2.045 2.045 4.732 2.045 -2.045 4.732 2.045 2.045 -4.732" Properties=species:S:1:pos:R:3 comment="Zr2AlAu PBE optimized geometry" crystal_system=tetragonal dos_at_fermi_per_ev_cell=3.7 energy_ev_per_atom=-6.427 spacegroup="No. 119" m_tot_mub_per_fu=0.00 pbc="T T T"
Zr 0.000 0.000 0.000
Zr 0.000 2.045 2.366
Al 2.045 0.000 2.366
Au 0.000 0.000 4.732

=====

Record 7
9
Lattice="-5.233 5.233 2.475 5.233 -5.233 2.475 5.233 5.233 -2.475" Properties=species:S:1:pos:R:3 comment="CeTm8 PBE optimized geometry" crystal_system=tetragonal dos_at_fermi_per_ev_cell=14.7 energy_ev_per_atom=-4.588 spacegroup="No. 139" m_tot_mub_per_fu=1.09 pbc="T T T"
Ce 0.000 0.000 0.000
Tm 3.486 0.000 0.000
Tm 6.980 0.000 0.000
Tm 0.000 3.486 0.000
Tm 3.498 3.498 0.000
Tm 1.735 -1.735 2.475
Tm -1.735 1.735 2.475
Tm 1.735 1.735 2.475
Tm 0.000 6.980 0.000

=====

Record 8
8
Lattice="-2.487 2.487 10.184 2.487 -2.487 10.184 2.487 2.487 -10.184" Properties=species:S:1:pos:R:3 comment="Pm4Dy3Tl PBE optimized geometry" crystal_system=tetragonal dos_at_fermi_per_ev_cell=10.4 energy_ev_per_atom=-4.471 spacegroup="No. 139" m_tot_mub_per_fu=0.00 pbc="T T T"
Pm 2.487 0.000 2.488
Pm 2.487 0.000 7.696
Pm 0.000 2.487 2.488
Pm 0.000 2.487 7.696
Dy 0.000 0.000 0.000
Dy 0.000 0.000 5.056
Dy 0.000 0.000 15.313
Tl 0.000 0.000 10.184